The following is a PBE with a Hubbard U calculation of an optimized crystal structure of NiAsNO2, from the Alexandria database.

As for the density of states at the Fermi level: 1.759 states/eV/f.u. As for the total DFT energy (no corrections): -4.866 eV per atom.

Unit cell a=3.6641 b=3.6641 c=3.8566 alpha=90.00 beta=90.00 gamma=90.00
With the nearest neighbours (Å) after each atom.
Fractional coordinates of all 5 atoms:
O (0.5000, 0.0000, 0.0000)  2 As 1.83
O (0.0000, 0.5000, 0.0000)  2 As 1.83
Ni (0.5000, 0.5000, 0.5000)  4 N 2.59, 8 O 2.66
As (0.0000, 0.0000, 0.0000)  4 O 1.83, 2 N 1.93
N (0.0000, 0.0000, 0.5000)  2 As 1.93